(1)
Density functional theory data (PBE with a Hubbard U) for a relaxed structure of VPdOF2.

It has space group P4/mmm (No. 123), with a = 4.0788 Å, b = 4.0788 Å, c = 3.7396 Å, α = 90.00°, β = 90.00° and γ = 90.00°. The distinct sites, in fractional coordinates, are V at (0.0000, 0.0000, 0.0000), Pd at (0.5000, 0.5000, 0.5000), O at (0.0000, 0.0000, 0.5000) and F at (0.0000, 0.5000, 0.0000).

For the polymorph energy (0 for the lowest one), the calculation gives 0 meV per atom. For the final energy, the calculation gives -5.62 eV/atom.



(2)
Density functional theory data (PBE with a Hubbard U) for a relaxed structure of V2PdOF.

It has space group P4/mmm (No. 123), with a = 3.8301 Å, b = 3.8301 Å, c = 4.4917 Å, α = 90.00°, β = 90.00° and γ = 90.00°. The distinct sites, in fractional coordinates, are V at (0.0000, 0.5000, 0.0000), Pd at (0.0000, 0.0000, 0.5000), O at (0.5000, 0.5000, 0.0000) and F at (0.5000, 0.5000, 0.5000).

For the final energy, the calculation gives -5.38 eV/atom.



(3)
Density functional theory data (PBE with a Hubbard U) for a relaxed structure of VPdOF2.

It has space group P4/mmm (No. 123), with a = 4.1697 Å, b = 4.1697 Å, c = 4.0805 Å, α = 90.00°, β = 90.00° and γ = 90.00°. The distinct sites, in fractional coordinates, are V at (0.0000, 0.0000, 0.0000), Pd at (0.5000, 0.5000, 0.5000), O at (0.5000, 0.5000, 0.0000) and F at (0.0000, 0.5000, 0.5000).

For the polymorph energy (0 for the lowest one), the calculation gives 1030 meV per atom. For the final energy, the calculation gives -4.59 eV/atom.



(4)
Density functional theory data (PBE with a Hubbard U) for a relaxed structure of PdWO2F.

It has space group P4/mmm (No. 123), with a = 4.1012 Å, b = 4.1012 Å, c = 4.0338 Å, α = 90.00°, β = 90.00° and γ = 90.00°. The distinct sites, in fractional coordinates, are Pd at (0.0000, 0.0000, 0.0000), W at (0.5000, 0.5000, 0.5000), O at (0.0000, 0.5000, 0.0000) and F at (0.0000, 0.0000, 0.5000).

For the final energy, the calculation gives -4.88 eV/atom.



no.,spin magnetization (μB/atom)
1,0.206
2,0.000
3,0.047
4,0.695